(1)
Entry from the Alexandria database: an optimized crystal structure of NiWAu (GGA-PBE).

Lattice parameters (Å, degrees): 2.7741 2.7741 11.5995 90.00 90.00 90.00
Closest atoms and distances in Å follow each position.
Space group I4mm (No. 107)
Inequivalent atoms, fractional coordinates:
Ni (0.0000, 0.0000, 0.0000) x2  4 W 2.57, 4 Ni 2.77, 4 Au 2.79
W (0.0000, 0.0000, 0.3563) x2  4 Ni 2.57, 4 W 2.77
Au (0.0000, 0.0000, 0.6707) x2  4 Au 2.77, 4 Ni 2.79, 4 W 2.91

Energy of formation from the pure elements ... 0.14 eV/atom
DFT total energy ... -7.19 eV/atom
Energy above the most stable polymorph in this dataset ... 95 meV per atom

---

(2)
Entry from the Alexandria database: an optimized crystal structure of ScBe4Hg (GGA-PBE).

Lattice parameters (Å, degrees): 6.7328 6.7328 6.7328 90.00 90.00 90.00
Closest atoms and distances in Å follow each position.
Space group F-43m (No. 216)
Inequivalent atoms, fractional coordinates:
Sc (0.0000, 0.0000, 0.0000) x4  12 Be 2.78, 4 Hg 2.92
Be (0.1324, 0.1324, 0.3676) x16  3 Be 2.24
Hg (0.2500, 0.2500, 0.7500) x4  12 Be 2.81, 4 Sc 2.92

Energy of formation from the pure elements ... 0.13 eV/atom
DFT total energy ... -3.46 eV/atom

---

> The highest energy of formation from the pure elements belongs to which entry?

NiWAu